VASP calculation (PBE) on Pr4TlInO after structural relaxation.

Structure (POSCAR):
```
Pr4TlInO
1.0
3.442 -8.622 0.000
3.442 8.622 0.000
0.000 0.000 6.879
Pr Tl In O
8 2 2 2
Direct
0.000 0.500 0.000 Pr
0.000 0.500 0.500 Pr
0.071 0.929 0.750 Pr
0.420 0.580 0.750 Pr
0.500 0.000 0.000 Pr
0.500 0.000 0.500 Pr
0.580 0.420 0.250 Pr
0.929 0.071 0.250 Pr
0.390 0.610 0.250 Tl
0.610 0.390 0.750 Tl
0.114 0.886 0.250 In
0.886 0.114 0.750 In
0.267 0.733 0.750 O
0.733 0.267 0.250 O
```

Results
Space-group type = Cmcm
Crystal system = orthorhombic
Calculated volume = 204.1 Å³/f.u.
Total energy = -5.18 eV per atom
E_form (uncorrected) = -1016 meV per atom



VASP calculation (PBE) on SmBeAl3 after structural relaxation.

Structure (POSCAR):
```
SmBeAl3
1.0
-2.052 2.052 5.357
2.052 -2.052 5.357
2.052 2.052 -5.357
Sm Be Al
1 1 3
Direct
0.000 0.000 0.000 Sm
0.388 0.388 0.000 Be
0.264 0.764 0.500 Al
0.604 0.604 0.000 Al
0.764 0.264 0.500 Al
```

Results
Space-group type = I4mm
Crystal system = tetragonal
Calculated volume = 90.2 Å³/f.u.
Total energy = -4.27 eV per atom



VASP calculation (PBE) on ZrZn2Au after structural relaxation.

Structure (POSCAR):
```
ZrZn2Au
1.0
-1.492 2.422 5.467
1.492 -2.422 5.467
1.492 2.422 -5.467
Zr Zn Au
1 2 1
Direct
0.000 0.000 0.000 Zr
0.263 0.263 0.000 Zn
0.737 0.737 0.000 Zn
0.500 0.500 0.000 Au
```

Results
Space-group type = Immm
Crystal system = orthorhombic
Calculated volume = 79.0 Å³/f.u.
Total energy = -3.57 eV per atom



VASP calculation (PBE) on HgRuW2 after structural relaxation.

Structure (POSCAR):
```
HgRuW2
1.0
0.000 3.220 3.220
3.220 0.000 3.220
3.220 3.220 0.000
Hg Ru W
1 1 2
Direct
0.000 0.000 0.000 Hg
0.500 0.500 0.500 Ru
0.250 0.250 0.250 W
0.750 0.750 0.750 W
```

Results
Space-group type = Fm-3m
Crystal system = cubic
Calculated volume = 66.8 Å³/f.u.
Energy relative to the lowest polymorph listed for this composition = 2.15 eV/f.u.
Total energy = -7.92 eV per atom



VASP calculation (PBE) on AcPmGdCd after structural relaxation.

Structure (POSCAR):
```
AcPmGdCd
1.0
0.000 4.021 4.021
4.021 0.000 4.021
4.021 4.021 0.000
Ac Pm Gd Cd
1 1 1 1
Direct
0.000 0.000 0.000 Ac
0.750 0.750 0.750 Pm
0.250 0.250 0.250 Gd
0.500 0.500 0.500 Cd
```

Results
Space-group type = F-43m
Crystal system = cubic
Calculated volume = 130.0 Å³/f.u.
Total energy = -5.93 eV per atom



VASP calculation (PBE) on Pr6HgGe2I3 after structural relaxation.

Structure (POSCAR):
```
Pr6HgGe2I3
1.0
3.856 -6.683 0.000
3.856 6.683 0.000
-2.567 0.000 7.581
Pr Hg Ge I
6 1 2 3
Direct
0.086 0.431 0.790 Pr
0.226 0.226 0.210 Pr
0.431 0.086 0.790 Pr
0.569 0.914 0.210 Pr
0.774 0.774 0.790 Pr
0.914 0.569 0.210 Pr
0.500 0.500 0.000 Hg
0.166 0.834 0.000 Ge
0.834 0.166 0.000 Ge
0.000 0.000 0.500 I
0.334 0.666 0.500 I
0.666 0.334 0.500 I
```

Results
Space-group type = C2/m
Crystal system = monoclinic
Calculated volume = 390.7 Å³/f.u.
Total energy = -4.47 eV per atom
E_form (uncorrected) = -893 meV per atom



Question: What is the formula in the second record?
Answer: SmBeAl3



Question: Look up the total energy of the fifth one.
Answer: -5.93 eV per atom



Question: The highest calculated volume belongs to which entry?
Answer: Pr6HgGe2I3



Question: Which of these has the highest calculated volume?
Answer: Pr6HgGe2I3